ScZnSN2: optimized geometry, PBE.

Cell lengths 3.8138, 3.8138, 4.9281 Å; angles 90.00, 90.00, 90.00 degrees
Last column: nearest neighbours and their distance in Å.
Element x y z (fractional)
Sc: 0.5000 0.5000 0.5000  4 S 2.70
Zn: 0.0000 0.0000 0.0000  4 N 1.91
S: 0.0000 0.0000 0.5000  2 Zn 2.46, 4 Sc 2.70
N: 0.0000 0.5000 0.0000  2 Zn 1.91
N: 0.5000 0.0000 0.0000  2 Zn 1.91

Properties
Theoretical density, g cm⁻³: 3.95
Energy, eV/atom: -5.090
Symmetry: P4/mmm